Material: Ce2NdSc
Method: DFT, PBE
State: optimized geometry

Results
- SG = R-3m, No. 166
- Fermi-level density of states (states/eV/f.u.) = 9.73
- total magnetization (μB per atom) = 0.1460
- polymorph energy (0 for the lowest one) (eV/f.u.) = 0.42

Unit cell a=3.3053 b=3.3053 c=36.2304 alpha=90.00 beta=90.00 gamma=120.00
Element x y z (fractional)
Ce 0.0000 0.0000 0.0893
Ce 0.0000 0.0000 0.9107
Ce 0.3333 0.6667 0.5773
Ce 0.3333 0.6667 0.7560
Ce 0.6667 0.3333 0.2440
Ce 0.6667 0.3333 0.4227
Nd 0.0000 0.0000 0.0000
Nd 0.3333 0.6667 0.6667
Nd 0.6667 0.3333 0.3333
Sc 0.0000 0.0000 0.5000
Sc 0.3333 0.6667 0.1667
Sc 0.6667 0.3333 0.8333